# 1
# AlCoRe2 (PBE, optimized geometry)
# E_form	-0.40	eV/f.u.
# Fermi-level density of states	0.4546	states/eV/atom
data_AlCoRe2
_cell_length_a 6.0432
_cell_length_b 6.0432
_cell_length_c 6.0432
_cell_angle_alpha 90.00
_cell_angle_beta 90.00
_cell_angle_gamma 90.00
_space_group_name_H-M_alt 'F -4 3 m'
_space_group_IT_number 216
_space_group_name_Hall 'F -4 2 3'
loop_
_atom_site_label
_atom_site_fract_x
_atom_site_fract_y
_atom_site_fract_z
Al1 0.0000 0.0000 0.0000
Co1 0.2500 0.2500 0.2500
Re1 0.0000 0.0000 0.5000
Re2 0.2500 0.2500 0.7500

# 2
# AlCoRe3 (PBE, optimized geometry)
# E_form	10.30	eV/f.u.
# distance to the lowest polymorph of the same formula	54.8	kJ/mol of atoms
# Fermi-level density of states	1.7842	states/eV/atom
data_AlCoRe3
_cell_length_a 4.3863
_cell_length_b 4.3863
_cell_length_c 4.3863
_cell_angle_alpha 90.00
_cell_angle_beta 90.00
_cell_angle_gamma 90.00
_space_group_name_H-M_alt 'P m -3 m'
_space_group_IT_number 221
_space_group_name_Hall '-P 4 2 3'
loop_
_atom_site_label
_atom_site_fract_x
_atom_site_fract_y
_atom_site_fract_z
Al1 0.0000 0.0000 0.0000
Co1 0.5000 0.5000 0.5000
Re1 0.0000 0.0000 0.5000

# 3
# AlCoReRu (PBE, optimized geometry)
# E_form	-0.48	eV/f.u.
# Fermi-level density of states	0.4998	states/eV/atom
data_AlCoReRu
_cell_length_a 6.0074
_cell_length_b 6.0074
_cell_length_c 6.0074
_cell_angle_alpha 90.00
_cell_angle_beta 90.00
_cell_angle_gamma 90.00
_space_group_name_H-M_alt 'F -4 3 m'
_space_group_IT_number 216
_space_group_name_Hall 'F -4 2 3'
loop_
_atom_site_label
_atom_site_fract_x
_atom_site_fract_y
_atom_site_fract_z
Al1 0.0000 0.0000 0.0000
Co1 0.2500 0.2500 0.7500
Re1 0.0000 0.0000 0.5000
Ru1 0.2500 0.2500 0.2500

# 4
# TaAlCoRe (PBE, optimized geometry)
# E_form	-1.36	eV/f.u.
# Fermi-level density of states	0.0882	states/eV/atom
data_TaAlCoRe
_cell_length_a 6.1374
_cell_length_b 6.1374
_cell_length_c 6.1374
_cell_angle_alpha 90.00
_cell_angle_beta 90.00
_cell_angle_gamma 90.00
_space_group_name_H-M_alt 'F -4 3 m'
_space_group_IT_number 216
_space_group_name_Hall 'F -4 2 3'
loop_
_atom_site_label
_atom_site_fract_x
_atom_site_fract_y
_atom_site_fract_z
Ta1 0.0000 0.0000 0.0000
Al1 0.0000 0.0000 0.5000
Co1 0.2500 0.2500 0.7500
Re1 0.2500 0.2500 0.2500

# 5
# AlCoReTc (PBE, optimized geometry)
# E_form	-0.65	eV/f.u.
# Fermi-level density of states	0.5381	states/eV/atom
data_AlCoReTc
_cell_length_a 6.0190
_cell_length_b 6.0190
_cell_length_c 6.0190
_cell_angle_alpha 90.00
_cell_angle_beta 90.00
_cell_angle_gamma 90.00
_space_group_name_H-M_alt 'F -4 3 m'
_space_group_IT_number 216
_space_group_name_Hall 'F -4 2 3'
loop_
_atom_site_label
_atom_site_fract_x
_atom_site_fract_y
_atom_site_fract_z
Al1 0.0000 0.0000 0.0000
Co1 0.2500 0.2500 0.2500
Re1 0.0000 0.0000 0.5000
Tc1 0.2500 0.2500 0.7500

# 6
# AlCoRe2Tc (PBE, optimized geometry)
# E_form	7.87	eV/f.u.
# Fermi-level density of states	1.2396	states/eV/atom
data_AlCoRe2Tc
_cell_length_a 4.4224
_cell_length_b 4.4224
_cell_length_c 4.0328
_cell_angle_alpha 90.00
_cell_angle_beta 90.00
_cell_angle_gamma 90.00
_space_group_name_H-M_alt 'P 4/m m m'
_space_group_IT_number 123
_space_group_name_Hall '-P 4 2'
loop_
_atom_site_label
_atom_site_fract_x
_atom_site_fract_y
_atom_site_fract_z
Al1 0.0000 0.0000 0.0000
Co1 0.0000 0.0000 0.5000
Re1 0.0000 0.5000 0.0000
Tc1 0.5000 0.5000 0.5000

# 7
# TiAlCoRe (PBE, optimized geometry)
# E_form	-1.38	eV/f.u.
# Fermi-level density of states	1.1413	states/eV/atom
data_TiAlCoRe
_cell_length_a 6.0331
_cell_length_b 6.0331
_cell_length_c 6.0331
_cell_angle_alpha 90.00
_cell_angle_beta 90.00
_cell_angle_gamma 90.00
_space_group_name_H-M_alt 'F -4 3 m'
_space_group_IT_number 216
_space_group_name_Hall 'F -4 2 3'
loop_
_atom_site_label
_atom_site_fract_x
_atom_site_fract_y
_atom_site_fract_z
Ti1 0.0000 0.0000 0.0000
Al1 0.0000 0.0000 0.5000
Co1 0.2500 0.2500 0.7500
Re1 0.2500 0.2500 0.2500

# 8
# AlVCoRe (PBE, optimized geometry)
# E_form	-1.27	eV/f.u.
# Fermi-level density of states	0.3018	states/eV/atom
data_AlVCoRe
_cell_length_a 5.9367
_cell_length_b 5.9367
_cell_length_c 5.9367
_cell_angle_alpha 90.00
_cell_angle_beta 90.00
_cell_angle_gamma 90.00
_space_group_name_H-M_alt 'F -4 3 m'
_space_group_IT_number 216
_space_group_name_Hall 'F -4 2 3'
loop_
_atom_site_label
_atom_site_fract_x
_atom_site_fract_y
_atom_site_fract_z
Al1 0.0000 0.0000 0.0000
V1 0.0000 0.0000 0.5000
Co1 0.2500 0.2500 0.7500
Re1 0.2500 0.2500 0.2500

# 9
# Al2ZnCoRe (PBE, optimized geometry)
# E_form	6.01	eV/f.u.
# Fermi-level density of states	0.6105	states/eV/atom
data_Al2ZnCoRe
_cell_length_a 4.4055
_cell_length_b 4.4055
_cell_length_c 4.1709
_cell_angle_alpha 90.00
_cell_angle_beta 90.00
_cell_angle_gamma 90.00
_space_group_name_H-M_alt 'P 4/m m m'
_space_group_IT_number 123
_space_group_name_Hall '-P 4 2'
loop_
_atom_site_label
_atom_site_fract_x
_atom_site_fract_y
_atom_site_fract_z
Al1 0.0000 0.5000 0.0000
Zn1 0.0000 0.0000 0.0000
Co1 0.0000 0.0000 0.5000
Re1 0.5000 0.5000 0.5000

# 10
# AlCoRh2 (PBE, optimized geometry)
# E_form	-1.44	eV/f.u.
# Fermi-level density of states	1.0662	states/eV/atom
data_AlCoRh2
_cell_length_a 2.8800
_cell_length_b 4.2531
_cell_length_c 8.6759
_cell_angle_alpha 90.00
_cell_angle_beta 90.00
_cell_angle_gamma 90.00
_space_group_name_H-M_alt 'I m m 2'
_space_group_IT_number 44
_space_group_name_Hall 'I 2 -2'
loop_
_atom_site_label
_atom_site_fract_x
_atom_site_fract_y
_atom_site_fract_z
Al1 0.0000 0.0000 0.0000
Co1 0.0000 0.5000 0.7328
Rh1 0.0000 0.0000 0.4874
Rh2 0.0000 0.5000 0.2601

# 11
# AlCo2Rh (PBE, optimized geometry)
# E_form	-1.17	eV/f.u.
# Fermi-level density of states	1.5497	states/eV/atom
data_AlCo2Rh
_cell_length_a 3.5381
_cell_length_b 3.5381
_cell_length_c 4.0164
_cell_angle_alpha 90.00
_cell_angle_beta 90.00
_cell_angle_gamma 90.00
_space_group_name_H-M_alt 'P 4/m m m'
_space_group_IT_number 123
_space_group_name_Hall '-P 4 2'
loop_
_atom_site_label
_atom_site_fract_x
_atom_site_fract_y
_atom_site_fract_z
Al1 0.0000 0.0000 0.0000
Co1 0.0000 0.5000 0.5000
Rh1 0.5000 0.5000 0.0000

# 12
# Al2CoRh (PBE, optimized geometry)
# E_form	-0.89	eV/f.u.
# Fermi-level density of states	0.5782	states/eV/atom
data_Al2CoRh
_cell_length_a 2.8003
_cell_length_b 2.8003
_cell_length_c 24.6204
_cell_angle_alpha 90.00
_cell_angle_beta 90.00
_cell_angle_gamma 120.00
_space_group_name_H-M_alt 'R 3 m'
_space_group_IT_number 160
_space_group_name_Hall 'R 3 -2"'
loop_
_atom_site_label
_atom_site_fract_x
_atom_site_fract_y
_atom_site_fract_z
Al1 0.0000 0.0000 0.0000
Al2 0.0000 0.0000 0.2398
Co1 0.0000 0.0000 0.4961
Rh1 0.0000 0.0000 0.7465

# 13
# AlCo2Rh (PBE, optimized geometry)
# E_form	-1.28	eV/f.u.
# Fermi-level density of states	1.2052	states/eV/atom
data_AlCo2Rh
_cell_length_a 2.9125
_cell_length_b 4.0469
_cell_length_c 4.2318
_cell_angle_alpha 90.00
_cell_angle_beta 90.00
_cell_angle_gamma 90.00
_space_group_name_H-M_alt 'P m m m'
_space_group_IT_number 47
_space_group_name_Hall '-P 2 2'
loop_
_atom_site_label
_atom_site_fract_x
_atom_site_fract_y
_atom_site_fract_z
Al1 0.0000 0.0000 0.0000
Co1 0.0000 0.5000 0.5000
Co2 0.5000 0.0000 0.5000
Rh1 0.5000 0.5000 0.0000

# 14
# Al2CoRh (PBE, optimized geometry)
# E_form	-3.28	eV/f.u.
# Fermi-level density of states	0.3270	states/eV/atom
data_Al2CoRh
_cell_length_a 4.1397
_cell_length_b 4.1397
_cell_length_c 2.9577
_cell_angle_alpha 90.00
_cell_angle_beta 90.00
_cell_angle_gamma 90.00
_space_group_name_H-M_alt 'P 4/m m m'
_space_group_IT_number 123
_space_group_name_Hall '-P 4 2'
loop_
_atom_site_label
_atom_site_fract_x
_atom_site_fract_y
_atom_site_fract_z
Al1 0.0000 0.5000 0.0000
Co1 0.0000 0.0000 0.5000
Rh1 0.5000 0.5000 0.5000

# 15
# Al2CoRh (PBE, optimized geometry)
# E_form	-2.40	eV/f.u.
# Fermi-level density of states	0.7878	states/eV/atom
data_Al2CoRh
_cell_length_a 2.9484
_cell_length_b 4.0448
_cell_length_c 8.7930
_cell_angle_alpha 90.00
_cell_angle_beta 90.00
_cell_angle_gamma 90.00
_space_group_name_H-M_alt 'I m m 2'
_space_group_IT_number 44
_space_group_name_Hall 'I 2 -2'
loop_
_atom_site_label
_atom_site_fract_x
_atom_site_fract_y
_atom_site_fract_z
Al1 0.0000 0.0000 0.0000
Al2 0.0000 0.5000 0.2290
Co1 0.0000 0.5000 0.7275
Rh1 0.0000 0.0000 0.4821